1.
DFT (PBEsol) results for crystalline ZrTc2Ag at its relaxed geometry.

Computed properties:
N(E_F) (states/eV/cell): 2.9
VASP energy (eV/cell): -34.210
Volume (Å³ per cell): 64.8
Energy of formation (meV per atom): 181

Cell and atoms, written as POSCAR:
```
ZrTc2Ag
1.0
2.7944 0.0000 0.0000
1.3972 2.4200 0.0000
1.3972 0.8067 9.5788
Zr Tc Ag
1 2 1
direct
0.4978 0.4978 0.5066 Zr
0.0057 0.0057 0.9828 Tc
0.7418 0.7418 0.7747 Tc
0.2547 0.2547 0.2360 Ag
```

2.
DFT (PBEsol) results for crystalline ZrTcAg at its relaxed geometry.

Computed properties:
N(E_F) (states/eV/cell): 2.5
VASP energy (eV/cell): -23.122
Volume (Å³ per cell): 50.6
Energy of formation (meV per atom): 182

Cell and atoms, written as POSCAR:
```
ZrTcAg
1.0
-0.0363 -2.4532 -0.9950
4.6241 -0.3662 0.7340
-3.0202 -1.3132 3.3480
Zr Ag Tc
1 1 1
direct
0.3397 0.3333 0.6667 Zr
0.0083 0.0000 0.0000 Ag
0.6521 0.6667 0.3333 Tc
```